(1)
This record from the Alexandria database describes BeTeSeN2 after structural relaxation. The functional is GGA-PBE.

Cell and atoms, written as POSCAR:
```
BeTeSeN2
1.0
3.9183 0.0000 0.0000
0.0000 3.9183 0.0000
0.0000 0.0000 4.6721
Be Te Se N
1 1 1 2
Direct
0.0000 0.0000 0.0000
0.5000 0.5000 0.5000
0.0000 0.0000 0.5000
0.0000 0.5000 0.0000
0.5000 0.0000 0.0000
```

## Properties
As for the polymorph energy (0 for the lowest one): 0.000 eV/atom.

=====

(2)
This record from the Alexandria database describes BeTeSeN2 after structural relaxation. The functional is GGA-PBE.

Cell and atoms, written as POSCAR:
```
BeTeSeN2
1.0
4.0460 0.0000 0.0000
0.0000 4.0460 0.0000
0.0000 0.0000 4.3062
Be Te Se N
1 1 1 2
Direct
0.0000 0.0000 0.0000
0.5000 0.5000 0.0000
0.0000 0.0000 0.5000
0.0000 0.5000 0.5000
0.5000 0.0000 0.5000
```

## Properties
As for the polymorph energy (0 for the lowest one): 0.214 eV/atom.

=====

(3)
This record from the Alexandria database describes BeTeSeN2 after structural relaxation. The functional is GGA-PBE.

Cell and atoms, written as POSCAR:
```
BeTeSeN2
1.0
3.7331 0.0000 0.0000
0.0000 3.7331 0.0000
0.0000 0.0000 6.5141
Be Te Se N
1 1 1 2
Direct
0.0000 0.0000 0.0000
0.0000 0.0000 0.5000
0.5000 0.5000 0.5000
0.0000 0.5000 0.0000
0.5000 0.0000 0.0000
```

## Properties
As for the polymorph energy (0 for the lowest one): 0.029 eV/atom.

=====

(4)
This record from the Alexandria database describes BeTeSeN2 after structural relaxation. The functional is GGA-PBE.

Cell and atoms, written as POSCAR:
```
BeTeSeN2
1.0
3.8517 0.0000 0.0000
0.0000 3.8517 0.0000
0.0000 0.0000 6.1311
Be Te Se N
1 1 1 2
Direct
0.0000 0.0000 0.0000
0.5000 0.5000 0.5000
0.5000 0.5000 0.0000
0.0000 0.5000 0.5000
0.5000 0.0000 0.5000
```

## Properties
As for the polymorph energy (0 for the lowest one): 0.153 eV/atom.

=====

(5)
This record from the Alexandria database describes TiBeSe2N after structural relaxation. The functional is GGA-PBE.

Cell and atoms, written as POSCAR:
```
TiBeSe2N
1.0
5.0701 0.0000 0.0000
0.0000 5.0701 0.0000
0.0000 0.0000 3.7068
Ti Be Se N
1 1 2 1
Direct
0.0000 0.0000 0.0000
0.5000 0.5000 0.5000
0.0000 0.5000 0.0000
0.5000 0.0000 0.0000
0.0000 0.0000 0.5000
```

## Properties
As for the polymorph energy (0 for the lowest one): 0.180 eV/atom.

=====

(6)
This record from the Alexandria database describes TiBeSe2N after structural relaxation. The functional is GGA-PBE.

Cell and atoms, written as POSCAR:
```
TiBeSe2N
1.0
4.8562 0.0000 0.0000
0.0000 4.8562 0.0000
0.0000 0.0000 3.1382
Ti Be Se N
1 1 2 1
Direct
0.0000 0.0000 0.0000
0.5000 0.5000 0.5000
0.0000 0.5000 0.5000
0.5000 0.0000 0.5000
0.5000 0.5000 0.0000
```

## Properties
As for the polymorph energy (0 for the lowest one): 0.000 eV/atom.

=====

Per-record energy relative to the elements, uncorrected, eV per atom: 1.334; 1.547; 1.363; 1.487; 0.302; 0.122
Per-record electronic total energy, eV per formula unit: -20.33; -19.27; -20.19; -19.57; -25.40; -26.30